An optimized crystal structure of MnRe5, computed with GGA-PBEsol.

Properties
- Raw total energy: -12.69 eV/atom
- D(E_F): 0.97 states/eV per atom
- Density: 19.487 g cm⁻³
- Offset from the most stable computed form: 0.04 eV/f.u.

Unit cell a=4.3811 b=7.1677 c=7.1677 alpha=21.92 beta=90.00 gamma=90.00
Last column: nearest neighbours and their distance in Å.
Fractional positions:
Mn 0.0000 0.0000 0.0000  10 Re 2.64-2.68, 2 Mn 2.73
Re 0.0000 0.3393 0.3393  2 Mn 2.64, 10 Re 2.67-2.83
Re 0.0000 0.6633 0.6633  2 Mn 2.67, 10 Re 2.69-2.83
Re 0.5000 0.1100 0.1100  10 Re 2.65-2.74, 2 Mn 2.68
Re 0.5000 0.4484 0.4484  8 Re 2.65-2.75, 4 Mn 2.68
Re 0.5000 0.7788 0.7788  12 Re 2.72-2.75

An optimized crystal structure of Mn2Re, computed with GGA-PBEsol.

Properties
- Raw total energy: -11.06 eV/atom
- D(E_F): 0.67 states/eV per atom
- Density: 14.144 g cm⁻³

Unit cell a=4.6155 b=4.6155 c=4.6155 alpha=60.00 beta=60.00 gamma=60.00
Last column: nearest neighbours and their distance in Å.
Fractional positions:
Mn 0.0000 0.0000 0.0000  6 Mn 2.31
Mn 0.0000 0.0000 0.5000  6 Mn 2.31
Mn 0.0000 0.5000 0.0000  6 Mn 2.31
Mn 0.5000 0.0000 0.0000  6 Mn 2.31
Re 0.3750 0.3750 0.3750  12 Mn 2.71, 4 Re 2.83
Re 0.6250 0.6250 0.6250  12 Mn 2.71, 4 Re 2.83

An optimized crystal structure of MnRe5, computed with GGA-PBEsol.

Properties
- Raw total energy: -12.69 eV/atom
- D(E_F): 0.97 states/eV per atom
- Density: 19.497 g cm⁻³
- Offset from the most stable computed form: 0.04 eV/f.u.

Unit cell a=5.1636 b=5.1636 c=6.3936 alpha=104.45 beta=104.45 gamma=30.66
Last column: nearest neighbours and their distance in Å.
Fractional positions:
Mn 0.0000 0.0000 0.0000  10 Re 2.61-2.75, 2 Mn 2.73
Re 0.0532 0.0532 0.6102  11 Re 2.66-2.76, 1 Mn 2.68
Re 0.3378 0.3378 0.6715  10 Re 2.66-2.79, 2 Mn 2.67
Re 0.3916 0.3916 0.2639  2 Mn 2.61, 10 Re 2.63-2.79
Re 0.6634 0.6634 0.3247  10 Re 2.63-2.79, 2 Mn 2.66
Re 0.7164 0.7164 0.9417  9 Re 2.63-2.73, 3 Mn 2.66-2.75

An optimized crystal structure of Mn2ReRh, computed with GGA-PBEsol.

Properties
- Raw total energy: -10.24 eV/atom
- D(E_F): 0.96 states/eV per atom
- Density: 13.444 g cm⁻³

Unit cell a=3.7112 b=3.7112 c=3.5782 alpha=90.00 beta=90.00 gamma=90.00
Last column: nearest neighbours and their distance in Å.
Fractional positions:
Mn 0.0000 0.5000 0.0000  4 Re 2.58, 4 Rh 2.58, 4 Mn 2.62
Mn 0.5000 0.0000 0.0000  4 Re 2.58, 4 Rh 2.58, 4 Mn 2.62
Re 0.0000 0.0000 0.5000  8 Mn 2.58, 4 Rh 2.62
Rh 0.5000 0.5000 0.5000  8 Mn 2.58, 4 Re 2.62

An optimized crystal structure of Mn2ReRh, computed with GGA-PBEsol.

Properties
- Raw total energy: -10.24 eV/atom
- D(E_F): 1.10 states/eV per atom
- Density: 13.530 g cm⁻³

Unit cell a=3.9544 b=4.9066 c=4.9066 alpha=30.96 beta=90.00 gamma=90.00
Last column: nearest neighbours and their distance in Å.
Fractional positions:
Mn 0.0000 0.0000 0.0000  2 Mn 2.25
Mn 0.5000 0.1132 0.1132  2 Mn 2.25
Re 0.0000 0.7308 0.7308  7 Mn 2.55-2.62, 2 Re 2.62, 4 Rh 2.77
Rh 0.5000 0.3830 0.3830  7 Mn 2.54-2.62, 2 Rh 2.62, 4 Re 2.77

An optimized crystal structure of Mn2ReRh2, computed with GGA-PBEsol.

Properties
- Raw total energy: -9.35 eV/atom
- D(E_F): 0.89 states/eV per atom
- Density: 12.537 g cm⁻³

Unit cell a=5.6962 b=5.6962 c=5.6962 alpha=143.01 beta=143.01 gamma=53.30
Last column: nearest neighbours and their distance in Å.
Fractional positions:
Mn 0.0948 0.0948 0.0000  1 Mn 1.93
Mn 0.9052 0.9052 0.0000  1 Mn 1.93
Re 0.5000 0.5000 0.0000  8 Mn 2.73
Rh 0.2500 0.7500 0.5000  4 Mn 2.40, 4 Rh 2.56
Rh 0.7500 0.2500 0.5000  4 Mn 2.40, 4 Rh 2.56

An optimized crystal structure of Mn2ReRh, computed with GGA-PBEsol.

Properties
- Raw total energy: -10.22 eV/atom
- D(E_F): 0.94 states/eV per atom
- Density: 13.282 g cm⁻³

Unit cell a=2.6232 b=2.6232 c=7.2489 alpha=90.00 beta=90.00 gamma=90.00
Last column: nearest neighbours and their distance in Å.
Fractional positions:
Mn 0.0000 0.0000 0.0000  8 Mn 2.45-2.62, 4 Rh 2.62
Mn 0.5000 0.5000 0.2205  8 Mn 2.45-2.62, 4 Re 2.62
Re 0.0000 0.0000 0.4765  4 Re 2.62, 4 Mn 2.62, 4 Rh 2.69
Rh 0.5000 0.5000 0.7449  4 Mn 2.62, 4 Rh 2.62, 4 Re 2.69

An optimized crystal structure of MnReRh3, computed with GGA-PBEsol.

Properties
- Raw total energy: -8.08 eV/atom
- D(E_F): 0.83 states/eV per atom
- Density: 9.266 g cm⁻³

Unit cell a=4.6190 b=4.6190 c=4.6190 alpha=90.00 beta=90.00 gamma=90.00
Last column: nearest neighbours and their distance in Å.
Fractional positions:
Mn 0.0000 0.0000 0.0000  12 Rh 3.27
Re 0.5000 0.5000 0.5000  6 Rh 2.31
Rh 0.0000 0.5000 0.5000  2 Re 2.31
Rh 0.5000 0.0000 0.5000  2 Re 2.31
Rh 0.5000 0.5000 0.0000  2 Re 2.31

An optimized crystal structure of MnReRu2, computed with GGA-PBEsol.

Properties
- Raw total energy: -10.76 eV/atom
- D(E_F): 1.22 states/eV per atom
- Density: 13.951 g cm⁻³
- Offset from the most stable computed form: 0.02 eV/f.u.

Unit cell a=4.5744 b=4.5744 c=2.6688 alpha=90.00 beta=90.00 gamma=109.13
Last column: nearest neighbours and their distance in Å.
Fractional positions:
Mn 0.0000 0.0000 0.0000  8 Ru 2.65, 2 Re 2.65, 2 Mn 2.67
Re 0.5000 0.5000 0.0000  8 Ru 2.65, 2 Mn 2.65, 2 Re 2.67
Ru 0.0000 0.5000 0.5000  4 Mn 2.65, 4 Re 2.65, 4 Ru 2.65-2.67
Ru 0.5000 0.0000 0.5000  4 Mn 2.65, 4 Re 2.65, 4 Ru 2.65-2.67

An optimized crystal structure of MnReRu2, computed with GGA-PBEsol.

Properties
- Raw total energy: -10.76 eV/atom
- D(E_F): 1.10 states/eV per atom
- Density: 14.095 g cm⁻³
- Offset from the most stable computed form: 0.00 eV/f.u.

Unit cell a=2.6659 b=2.6659 c=7.3482 alpha=90.00 beta=90.00 gamma=90.00
Last column: nearest neighbours and their distance in Å.
Fractional positions:
Mn 0.0000 0.0000 0.0000  8 Ru 2.56, 4 Mn 2.67
Re 0.0000 0.0000 0.5000  4 Re 2.67, 8 Ru 2.70
Ru 0.5000 0.5000 0.2362  4 Mn 2.56, 4 Ru 2.67, 4 Re 2.70
Ru 0.5000 0.5000 0.7638  4 Mn 2.56, 4 Ru 2.67, 4 Re 2.70

An optimized crystal structure of MnReRu2, computed with GGA-PBEsol.

Properties
- Raw total energy: -10.76 eV/atom
- D(E_F): 1.06 states/eV per atom
- Density: 14.074 g cm⁻³
- Offset from the most stable computed form: 0.00 eV/f.u.

Unit cell a=4.5711 b=4.5711 c=4.5777 alpha=99.68 beta=99.68 gamma=33.74
Last column: nearest neighbours and their distance in Å.
Fractional positions:
Mn 0.0000 0.0000 0.0000  6 Ru 2.61-2.64, 4 Re 2.65, 2 Mn 2.65
Re 0.5000 0.5000 0.5000  6 Ru 2.64-2.67, 4 Mn 2.65, 2 Re 2.65
Ru 0.2533 0.2533 0.7592  6 Ru 2.58-2.71, 3 Mn 2.61-2.64, 3 Re 2.64-2.67
Ru 0.7467 0.7467 0.2408  6 Ru 2.58-2.71, 3 Mn 2.61-2.64, 3 Re 2.64-2.67

An optimized crystal structure of MnRe3Sb, computed with GGA-PBEsol.

Properties
- Raw total energy: -8.05 eV/atom
- D(E_F): 1.52 states/eV per atom
- Raw formation energy: 2.81 eV/atom
- Density: 11.273 g cm⁻³

Unit cell a=4.7668 b=4.7668 c=4.7668 alpha=90.00 beta=90.00 gamma=90.00
Last column: nearest neighbours and their distance in Å.
Fractional positions:
Mn 0.0000 0.0000 0.0000  12 Re 3.37
Re 0.0000 0.5000 0.5000  2 Sb 2.38
Re 0.5000 0.0000 0.5000  2 Sb 2.38
Re 0.5000 0.5000 0.0000  2 Sb 2.38
Sb 0.5000 0.5000 0.5000  6 Re 2.38